SmHoEr2In2 | OQMD via LeMat-Bulk | PBE-GGA | relaxed; magnetic moment = 0.12 μB/atom; total energy = -4.329 eV per atom
1.0
5.387 0.000 0.000
-2.693 4.665 0.000
0.000 0.000 6.730
Sm Ho Er In
1 1 2 2
direct
0.000 0.000 0.000
0.333 0.667 0.500
0.667 0.333 0.255
0.667 0.333 0.745
0.000 0.000 0.500
0.333 0.667 0.000